Entry 1:
MoOsRh2: single point on PBEsol structure, SCAN.

Geometry as POSCAR:
```
MoOsRh2
1.0
-1.593 1.444 -1.636
1.237 -2.708 -3.595
-2.801 -2.991 2.317
Mo Rh Os
1 2 1
Direct
0.500 0.000 0.000 Mo
0.252 0.253 0.504 Rh
0.748 0.747 0.496 Rh
0.000 0.500 0.000 Os
```

Calculated values
- V: 13.994 Å³/atom
- Energy of formation from the pure elements: -0.013 eV per atom
- Calculated density: 14.594 Mg/m³
- Space-group type: C2/m, No. 12
- D(E_F): 4.208 states/eV/f.u.

Entry 2:
LaAlRe2: single point on PBEsol structure, SCAN.

Geometry as POSCAR:
```
LaAlRe2
1.0
2.872 -0.008 0.000
-0.212 5.371 0.000
-1.330 -2.681 4.488
Re Al La
2 1 1
Direct
0.500 0.500 0.500 Re
0.000 0.000 0.500 Re
0.500 0.000 0.000 Al
0.000 0.500 0.000 La
```

Calculated values
- V: 17.303 Å³/atom
- Energy of formation from the pure elements: 0.550 eV per atom
- Calculated density: 12.915 Mg/m³
- Space-group type: C2/m, No. 12
- D(E_F): 3.399 states/eV/f.u.

Entry 3:
TaAgTe2: single point on PBEsol structure, SCAN.

Geometry as POSCAR:
```
TaAgTe2
1.0
-2.208 2.248 -1.449
-2.231 -0.511 2.606
3.046 5.222 3.464
Ag Te Ta
1 2 1
Direct
0.500 0.500 0.500 Ag
0.000 0.009 0.229 Te
0.000 0.991 0.771 Te
0.500 0.500 0.000 Ta
```

Calculated values
- V: 20.947 Å³/atom
- Calculated density: 10.781 Mg/m³
- Space-group type: P2/m, No. 10
- D(E_F): 0.982 states/eV/f.u.
- Formation energy (no corrections): 0.0561 eV per atom

Entry 4:
AsSeN3: single point on PBEsol structure, SCAN.

Geometry as POSCAR:
```
AsSeN3
1.0
-2.127 0.663 3.007
-1.005 -3.604 0.084
2.910 -0.760 2.226
N As Se
3 1 1
Direct
0.000 0.500 0.000 N
0.000 0.000 0.500 N
0.500 0.000 0.000 N
0.000 0.000 0.000 As
0.500 0.500 0.500 Se
```

Calculated values
- V: 10.483 Å³/atom
- Calculated density: 6.207 Mg/m³
- Space-group type: Pm-3m, No. 221
- D(E_F): 2.460 states/eV/f.u.
- Formation energy (no corrections): 1.8141 eV per atom

Entry 5:
NaCd2In2: single point on PBEsol structure, SCAN.

Geometry as POSCAR:
```
NaCd2In2
1.0
-0.179 0.620 3.391
1.495 -8.217 1.582
8.356 1.550 0.157
Cd Na In
4 2 4
Direct
0.500 0.164 0.664 Cd
0.500 0.664 0.836 Cd
0.500 0.836 0.336 Cd
0.500 0.336 0.164 Cd
0.000 0.500 0.500 Na
0.000 0.000 0.000 Na
0.000 0.366 0.866 In
0.000 0.134 0.366 In
0.000 0.866 0.634 In
0.000 0.634 0.134 In
```

Calculated values
- V: 24.943 Å³/atom
- Energy of formation from the pure elements: -0.033 eV per atom
- Calculated density: 6.357 Mg/m³
- Space-group type: P4/mbm, No. 127
- D(E_F): 1.952 states/eV/f.u.

Entry 6:
TaHg3F6: single point on PBEsol structure, SCAN.

Geometry as POSCAR:
```
TaHg3F6
1.0
5.086 0.000 0.000
-2.543 4.405 0.000
0.000 0.000 7.476
F Hg Ta
6 3 1
Direct
0.697 0.000 0.847 F
0.000 0.697 0.847 F
0.303 0.000 0.153 F
0.303 0.303 0.847 F
0.000 0.303 0.153 F
0.697 0.697 0.153 F
0.000 0.000 0.500 Hg
0.333 0.667 0.500 Hg
0.667 0.333 0.500 Hg
0.000 0.000 0.000 Ta
```

Calculated values
- V: 16.749 Å³/atom
- Calculated density: 8.890 Mg/m³
- Space-group type: P-31m, No. 162
- D(E_F): 0.634 states/eV/f.u.
- Formation energy (no corrections): -2.3068 eV per atom

Entry 7:
Sc2TiGe2: single point on PBEsol structure, SCAN.

Geometry as POSCAR:
```
Sc2TiGe2
1.0
3.866 0.000 0.000
0.000 6.861 0.000
0.000 0.000 6.861
Ge Sc Ti
4 4 2
Direct
0.000 0.365 0.865 Ge
0.000 0.865 0.635 Ge
0.000 0.635 0.135 Ge
0.000 0.135 0.365 Ge
0.500 0.671 0.829 Sc
0.500 0.171 0.671 Sc
0.500 0.329 0.171 Sc
0.500 0.829 0.329 Sc
0.000 0.000 0.000 Ti
0.000 0.500 0.500 Ti
```

Calculated values
- V: 18.194 Å³/atom
- Energy of formation from the pure elements: -0.797 eV per atom
- Calculated density: 5.167 Mg/m³
- Space-group type: P4/mbm, No. 127
- D(E_F): 3.673 states/eV/f.u.

Entry 8:
SnAsIr3: single point on PBEsol structure, SCAN.

Geometry as POSCAR:
```
SnAsIr3
1.0
-3.927 2.688 -0.492
-1.757 -1.824 4.060
2.093 3.513 2.484
Ir Sn As
3 1 1
Direct
0.500 0.000 0.000 Ir
0.000 0.500 0.000 Ir
0.000 0.000 0.500 Ir
0.000 0.000 0.000 Sn
0.500 0.500 0.500 As
```

Calculated values
- V: 21.910 Å³/atom
- Energy of formation from the pure elements: 2.131 eV per atom
- Calculated density: 11.676 Mg/m³
- Space-group type: Pm-3m, No. 221
- D(E_F): 3.088 states/eV/f.u.

Entry 9:
Tb4Se3N2: single point on PBEsol structure, SCAN.

Geometry as POSCAR:
```
Tb4Se3N2
1.0
-2.496 -2.793 1.074
0.902 -0.926 6.759
-6.694 4.049 2.042
Tb Se N
4 3 2
Direct
0.560 0.732 0.149 Tb
0.440 0.268 0.851 Tb
0.756 0.129 0.360 Tb
0.244 0.871 0.640 Tb
0.166 0.440 0.228 Se
0.834 0.560 0.772 Se
0.000 0.000 0.000 Se
0.351 0.937 0.361 N
0.649 0.063 0.639 N
```

Calculated values
- V: 22.425 Å³/atom
- Calculated density: 7.410 Mg/m³
- Space-group type: C2/m, No. 12
- D(E_F): 0.000 states/eV/f.u.
- Formation energy (no corrections): -2.0949 eV per atom

Entry 10:
Cd2SBr: single point on PBEsol structure, SCAN.

Geometry as POSCAR:
```
Cd2SBr
1.0
4.903 0.000 0.000
2.451 4.246 0.000
2.451 1.415 4.003
Br Cd S
1 2 1
Direct
0.500 0.500 0.500 Br
0.250 0.250 0.250 Cd
0.750 0.750 0.750 Cd
0.000 0.000 0.000 S
```

Calculated values
- V: 20.833 Å³/atom
- Calculated density: 6.711 Mg/m³
- Space-group type: Fm-3m, No. 225
- D(E_F): 1.132 states/eV/f.u.
- Formation energy (no corrections): -0.1682 eV per atom

Entry 11:
Ni2RuBr: single point on PBEsol structure, SCAN.

Geometry as POSCAR:
```
Ni2RuBr
1.0
2.854 0.000 0.000
1.427 2.472 0.000
1.427 0.824 7.637
Br Ru Ni
1 1 2
Direct
0.254 0.254 0.238 Br
0.496 0.496 0.513 Ru
0.003 0.003 0.992 Ni
0.748 0.748 0.756 Ni
```

Calculated values
- V: 13.467 Å³/atom
- Calculated density: 9.197 Mg/m³
- Space-group type: R3m, No. 160
- D(E_F): 5.419 states/eV/f.u.
- Formation energy (no corrections): 0.7568 eV per atom

Entry 12:
CsN3Cl: single point on PBEsol structure, SCAN.

Geometry as POSCAR:
```
CsN3Cl
1.0
4.367 0.000 0.000
0.000 4.367 0.000
0.000 0.000 4.367
N Cl Cs
3 1 1
Direct
0.000 0.500 0.000 N
0.000 0.000 0.500 N
0.500 0.000 0.000 N
0.000 0.000 0.000 Cl
0.500 0.500 0.500 Cs
```

Calculated values
- V: 16.656 Å³/atom
- Calculated density: 4.195 Mg/m³
- Space-group type: Pm-3m, No. 221
- D(E_F): 4.546 states/eV/f.u.
- Formation energy (no corrections): 2.3487 eV per atom